w) The following is a DFT calculation (PBE) of an optimized crystal structure of Pm3Ge4Rh4.

The calculation puts the total magnetization at 0.00 μB per formula unit.

Unit cell a=4.2313 b=4.0862 c=12.9835 alpha=99.05 beta=99.38 gamma=90.00
Positions (direct):
Pm1 0.6449 0.1449 0.2897
Pm2 0.3551 0.8551 0.7103
Pm3 0.0000 0.0000 0.0000
Ge1 0.5492 0.5492 0.0984
Ge2 0.1965 0.6965 0.3929
Ge3 0.4508 0.4508 0.9016
Ge4 0.8035 0.3035 0.6071
Rh1 0.0988 0.5988 0.1976
Rh2 0.7496 0.7496 0.4991
Rh3 0.9012 0.4012 0.8024
Rh4 0.2504 0.2504 0.5009

x) The following is a DFT calculation (PBE) of an optimized crystal structure of Pm3Ge4Rh4.

The calculation puts the total magnetization at 0.00 μB per formula unit.

Unit cell a=4.3597 b=4.2364 c=12.5034 alpha=99.75 beta=100.04 gamma=90.00
Positions (direct):
Pm1 0.3544 0.8544 0.7088
Pm2 0.0000 0.0000 0.0000
Pm3 0.6456 0.1456 0.2912
Rh1 0.4464 0.4464 0.8928
Rh2 0.5536 0.5536 0.1072
Rh3 0.8011 0.3011 0.6022
Rh4 0.1989 0.6989 0.3978
Ge1 0.7494 0.7494 0.4989
Ge2 0.9011 0.4011 0.8022
Ge3 0.2506 0.2506 0.5011
Ge4 0.0989 0.5989 0.1978

Which one sits at the bottom of the stability order? x) does.

w) The following is a DFT calculation (PBE) of an optimized crystal structure of Pm4Ge2Rh.

The calculation puts the total magnetization at 0.43 μB per formula unit.

Unit cell a=4.4574 b=7.4910 c=7.3515 alpha=120.60 beta=107.65 gamma=90.00
Positions (direct):
Pm1 0.1316 0.7731 0.2632
Pm2 0.3908 0.7001 0.7817
Pm3 0.6092 0.2999 0.2183
Pm4 0.8684 0.2269 0.7368
Rh1 0.0000 0.0000 0.0000
Ge1 0.2256 0.2265 0.4512
Ge2 0.7744 0.7735 0.5488

x) The following is a DFT calculation (PBE) of an optimized crystal structure of Pm4Ge2Rh.

The calculation puts the total magnetization at 0.00 μB per formula unit.

Unit cell a=5.1280 b=5.1280 c=8.8092 alpha=106.92 beta=106.92 gamma=90.00
Positions (direct):
Rh1 0.0000 0.0000 0.0000
Ge1 0.3678 0.3678 0.7356
Ge2 0.6322 0.6322 0.2644
Pm1 0.1855 0.1855 0.3709
Pm2 0.8145 0.8145 0.6291
Pm3 0.5000 0.0000 0.0000
Pm4 0.0000 0.5000 0.0000

Which one sits at the bottom of the stability order? x) does.

w) The following is a DFT calculation (PBE) of an optimized crystal structure of Pm2Ge3Rh2.

The calculation puts the total magnetization at 0.00 μB per formula unit.

Unit cell a=4.2050 b=7.1472 c=9.4185 alpha=90.00 beta=102.90 gamma=90.00
Positions (direct):
Pm1 0.0567 0.7500 0.1134
Pm2 0.8409 0.7500 0.6819
Pm3 0.1591 0.2500 0.3181
Pm4 0.9433 0.2500 0.8866
Ge1 0.2221 0.7500 0.4443
Ge2 0.5631 0.0669 0.1263
Ge3 0.4369 0.9331 0.8737
Ge4 0.5631 0.4331 0.1263
Ge5 0.4369 0.5669 0.8737
Ge6 0.7779 0.2500 0.5557
Rh1 0.6939 0.9505 0.3879
Rh2 0.3061 0.0495 0.6121
Rh3 0.6939 0.5495 0.3879
Rh4 0.3061 0.4505 0.6121

x) The following is a DFT calculation (PBE) of an optimized crystal structure of Pm2Ge3Rh2.

The calculation puts the total magnetization at 0.00 μB per formula unit.

Unit cell a=4.2751 b=5.5994 c=6.8297 alpha=112.91 beta=90.00 gamma=112.44
Positions (direct):
Rh1 0.8685 0.7371 0.7767
Rh2 0.1315 0.2629 0.2233
Pm1 0.1505 0.3009 0.7744
Pm2 0.8495 0.6991 0.2256
Ge1 0.6226 0.2452 0.4446
Ge2 0.5000 0.0000 0.0000
Ge3 0.3774 0.7548 0.5554

Which one sits at the bottom of the stability order? x) does.